1.
{
  "formula": "TaAg2Ir",
  "functional": "PBE",
  "state": "relaxed",
  "e_above_lowest_polymorph_mev_per_atom": 323.7,
  "magmom_total_mub_per_cell": 0.30,
  "formation_enthalpy_0k_ev_per_atom": 0.349,
  "lattice_angstrom": [[-7.4032, 3.7081, 5.5259], [-8.3205, 1.0529, 5.3622], [-6.4698, 1.7819, 7.3525]],
  "species": ["Ag", "Ta", "Ir", "Ag"],
  "frac_coords": [[0.9983, 0.9983, 0.9983], [0.7500, 0.7500, 0.7500], [0.2500, 0.2500, 0.2500], [0.5017, 0.5017, 0.5017]]
}

2.
{
  "formula": "AcLaTmTh",
  "functional": "PBE",
  "state": "relaxed",
  "magmom_total_mub_per_cell": 0.00,
  "formation_enthalpy_0k_ev_per_atom": 0.242,
  "lattice_angstrom": [[-4.6034, -0.9610, 3.5450], [-2.3064, -5.4015, 0.4324], [0.6957, -3.1111, 4.9517]],
  "species": ["Tm", "Th", "La", "Ac"],
  "frac_coords": [[0.5000, 0.5000, 0.5000], [0.0000, 0.0000, 0.0000], [0.2500, 0.2500, 0.2500], [0.7500, 0.7500, 0.7500]]
}

3.
{
  "formula": "YGeAs2",
  "functional": "PBE",
  "state": "relaxed",
  "magmom_total_mub_per_cell": 0.00,
  "formation_enthalpy_0k_ev_per_atom": -0.373,
  "lattice_angstrom": [[-3.5983, -3.9559, -3.5042], [4.9163, -0.9506, -3.9752], [2.4166, -6.9246, -0.4967]],
  "species": ["Ge", "Y", "As", "Y", "As", "As", "As", "Ge"],
  "frac_coords": [[0.5000, 0.5000, 0.0000], [0.7500, 0.2500, 0.5000], [0.1600, 0.6250, 0.2500], [0.0000, 0.0000, 0.0000], [0.5900, 0.1250, 0.2500], [0.3750, 0.4100, 0.7500], [0.8750, 0.8400, 0.7500], [0.2500, 0.7500, 0.5000]]
}

4.
{
  "formula": "BaNaLi2Hg",
  "functional": "PBE",
  "state": "relaxed",
  "e_above_lowest_polymorph_mev_per_atom": 57.3,
  "magmom_total_mub_per_cell": 0.00,
  "formation_enthalpy_0k_ev_per_atom": -0.017,
  "lattice_angstrom": [[5.4861, 0.0000, 0.0000], [0.0000, 5.4861, 0.0000], [0.0000, 0.0000, 6.3623]],
  "species": ["Li", "Hg", "Na", "Ba", "Li"],
  "frac_coords": [[0.0000, 0.5000, 0.0000], [0.0000, 0.0000, 0.0000], [0.5000, 0.5000, 0.5000], [0.0000, 0.0000, 0.5000], [0.5000, 0.0000, 0.0000]]
}

5.
{
  "formula": "La2Er3Rh2",
  "functional": "PBE",
  "state": "relaxed",
  "magmom_total_mub_per_cell": 0.00,
  "formation_enthalpy_0k_ev_per_atom": -0.578,
  "lattice_angstrom": [[-0.7975, -1.9169, -3.1742], [3.1499, -5.5920, 0.3195], [-5.6324, -5.9756, 2.7578]],
  "species": ["La", "La", "Er", "Er", "Er", "Rh", "Rh"],
  "frac_coords": [[0.1654, 0.4741, 0.1952], [0.8346, 0.5259, 0.8048], [0.6188, 0.1889, 0.5735], [0.5000, 0.0000, 0.0000], [0.3812, 0.8111, 0.4265], [0.8265, 0.1032, 0.2437], [0.1735, 0.8968, 0.7563]]
}

6.
{
  "formula": "KReCl4",
  "functional": "PBE",
  "state": "relaxed",
  "e_above_lowest_polymorph_mev_per_atom": 1511.5,
  "magmom_total_mub_per_cell": 3.98,
  "e_form_raw_ev_per_fu": 4.19,
  "lattice_angstrom": [[1.8254, -5.6270, -1.7304], [-2.4910, -2.6541, -4.9739], [3.3568, -0.7122, -5.1199]],
  "species": ["Cl", "Re", "Cl", "K", "Cl", "Cl"],
  "frac_coords": [[0.3742, 0.3742, 0.8774], [0.0000, 0.0000, 0.0000], [0.3742, 0.3742, 0.3742], [0.7500, 0.7500, 0.7500], [0.3742, 0.8774, 0.3742], [0.8774, 0.3742, 0.3742]]
}

7.
{
  "formula": "Sr3Pb2Au4",
  "functional": "PBE",
  "state": "relaxed",
  "magmom_total_mub_per_cell": 0.00,
  "formation_enthalpy_0k_ev_per_atom": -0.624,
  "lattice_angstrom": [[-4.0114, -2.3324, 1.3440], [4.9802, -4.0591, -0.8621], [0.3042, 4.3641, 8.4813]],
  "species": ["Au", "Sr", "Sr", "Au", "Au", "Sr", "Pb", "Au", "Pb"],
  "frac_coords": [[0.9217, 0.8435, 0.5798], [0.6370, 0.2739, 0.6947], [0.0000, 0.0000, 0.0000], [0.7219, 0.4438, 0.0587], [0.2781, 0.5562, 0.9413], [0.3630, 0.7261, 0.3053], [0.6604, 0.3207, 0.3279], [0.0783, 0.1565, 0.4202], [0.3396, 0.6793, 0.6721]]
}

8.
{
  "formula": "CdHgTe2",
  "functional": "PBE",
  "state": "relaxed",
  "e_above_lowest_polymorph_mev_per_atom": 423.6,
  "magmom_total_mub_per_cell": 0.00,
  "e_form_raw_ev_per_fu": 0.45,
  "lattice_angstrom": [[3.3119, -0.0031, 0.0000], [-0.7715, 3.2208, 0.0000], [0.0000, 0.0000, 10.5460]],
  "species": ["Te", "Cd", "Hg", "Te"],
  "frac_coords": [[0.0000, 0.0000, 0.9641], [0.0000, 0.0000, 0.5157], [0.5000, 0.5000, 0.7258], [0.5000, 0.5000, 0.2944]]
}

9.
{
  "formula": "Al2GaNi",
  "functional": "PBE",
  "state": "relaxed",
  "magmom_total_mub_per_cell": 0.00,
  "formation_enthalpy_0k_ev_per_atom": -0.249,
  "lattice_angstrom": [[4.1032, 0.0000, 0.0000], [2.0516, 3.5535, 0.0000], [2.0516, 1.1845, 4.3014]],
  "species": ["Al", "Al", "Ga", "Ni"],
  "frac_coords": [[0.0560, 0.0560, 0.8320], [0.2753, 0.2753, 0.1740], [0.4911, 0.4911, 0.5267], [0.6776, 0.6776, 0.9673]]
}

10.
{
  "formula": "Zn5Ni4",
  "functional": "PBE",
  "state": "relaxed",
  "e_above_lowest_polymorph_mev_per_atom": 23.3,
  "magmom_total_mub_per_cell": 0.00,
  "formation_enthalpy_0k_ev_per_atom": -0.134,
  "lattice_angstrom": [[7.2204, 0.0000, 0.0000], [3.6102, 6.2531, 0.0000], [0.0000, 0.0000, 5.0174]],
  "species": ["Ni", "Zn", "Zn", "Zn", "Zn", "Ni", "Zn", "Zn", "Ni", "Ni", "Zn", "Ni", "Ni", "Zn", "Ni", "Ni", "Zn", "Zn"],
  "frac_coords": [[0.6409, 0.3591, 0.2500], [0.6961, 0.3039, 0.7500], [0.6667, 0.6667, 0.0000], [0.6961, 0.0000, 0.2500], [0.6667, 0.6667, 0.5000], [0.0000, 0.0000, 0.5000], [0.3333, 0.3333, 0.5000], [0.0000, 0.6961, 0.7500], [0.0000, 0.0000, 0.0000], [0.0000, 0.3591, 0.7500], [0.0000, 0.3039, 0.2500], [0.0000, 0.6409, 0.2500], [0.3591, 0.0000, 0.2500], [0.3333, 0.3333, 0.0000], [0.6409, 0.0000, 0.7500], [0.3591, 0.6409, 0.7500], [0.3039, 0.6961, 0.2500], [0.3039, 0.0000, 0.7500]]
}

11.
{
  "formula": "TiNbCoBr",
  "functional": "PBE",
  "state": "relaxed",
  "e_above_lowest_polymorph_mev_per_atom": 327.3,
  "magmom_total_mub_per_cell": 0.00,
  "e_form_raw_ev_per_fu": 0.49,
  "lattice_angstrom": [[-2.0796, 2.0321, -1.1432], [-4.3502, -2.2377, -0.3543], [-2.7161, 1.7699, 3.8275]],
  "species": ["Br", "Ti", "Co", "Nb"],
  "frac_coords": [[0.6555, 0.0478, 0.0337], [0.4469, 0.6167, 0.8822], [0.1423, 0.5880, 0.5187], [0.8728, 0.1839, 0.4634]]
}

12.
{
  "formula": "Sr2LiGaSn",
  "functional": "PBE",
  "state": "relaxed",
  "magmom_total_mub_per_cell": 0.00,
  "formation_enthalpy_0k_ev_per_atom": -0.067,
  "lattice_angstrom": [[-3.3478, -1.6393, -4.7364], [1.6915, -5.7312, 0.7879], [-3.7586, -0.7103, 2.9025]],
  "species": ["Sr", "Li", "Sn", "Ga", "Sr"],
  "frac_coords": [[0.0000, 0.5000, 0.0000], [0.0000, 0.0000, 0.5000], [0.5000, 0.5000, 0.5000], [0.0000, 0.0000, 0.0000], [0.5000, 0.0000, 0.0000]]
}

13.
{
  "formula": "MnIr3I",
  "functional": "PBE",
  "state": "relaxed",
  "e_above_lowest_polymorph_mev_per_atom": 462.3,
  "magmom_total_mub_per_cell": 5.55,
  "e_form_raw_ev_per_fu": 9.89,
  "lattice_angstrom": [[4.8414, 0.0000, 0.0000], [0.0000, 4.8414, 0.0000], [0.0000, 0.0000, 4.8414]],
  "species": ["Ir", "Ir", "Ir", "I", "Mn"],
  "frac_coords": [[0.5000, 0.0000, 0.0000], [0.0000, 0.5000, 0.0000], [0.0000, 0.0000, 0.5000], [0.0000, 0.0000, 0.0000], [0.5000, 0.5000, 0.5000]]
}